AlP4Pb: optimized geometry, PBE-GGA.

Summary:
Formation enthalpy at 0 K (eV per atom): 0.481
Final energy (eV/atom): -4.3678
Total magnetic moment (μB/atom): 0.0000

abc: 5.627 5.627 5.627
angles: 60.00 60.00 60.00
Sites, in units of the cell vectors:
Al 0.000 0.000 0.000
P 0.352 0.352 0.352
P 0.352 0.352 0.943
P 0.352 0.943 0.352
P 0.943 0.352 0.352
Pb 0.750 0.750 0.750